Entry from Alexandria: a relaxed structure of SrTeBr2 (PBE).

## Properties
- space group = I4/mmm (139)
- crystal system = tetragonal
- distance to the lowest polymorph of the same formula (meV/atom) = 340
- formation energy from raw total energies (eV/atom) = -0.922

Cell: 5.9828 5.9828 5.9828 Å, 129.90 129.90 73.57°
Each line ends with the local moment (μB).
Fractional positions:
Br 0.5000 0.5000 0.0000  0.03
Te 0.7500 0.2500 0.5000  0.18
Sr 0.2500 0.7500 0.5000  0.00
Br 0.0000 0.0000 0.0000  0.03